La2Sm3TmTe6: optimized geometry, GGA-PBE.

```
La2Sm3TmTe6
1.0
4.4421 0.0000 0.0000
0.0000 8.9824 0.3662
-2.2210 -2.5410 9.3820
La Sm Tm Te
2 3 1 6
direct
0.8322 0.6648 0.6644
0.1678 0.3352 0.3356
0.5000 0.5000 0.0000
0.8272 0.1647 0.6543
0.1728 0.8353 0.3457
0.5000 0.0000 0.0000
0.3395 0.9260 0.6790
0.6637 0.5887 0.3275
0.6605 0.0740 0.3210
0.9958 0.2388 0.9916
0.0042 0.7612 0.0084
0.3363 0.4113 0.6725
```

Results
formation energy from raw total energies	-1.417	eV per atom